[1]
# GGA-PBE Tb2NdEr3, relaxed
# * density of states at the Fermi level: 29.09 states/eV per cell
# * energy above the most stable polymorph in this dataset: 0 meV/atom
# * raw total energy: -110.50 eV per cell
# * formation energy: 0.0151 eV/atom
# * total moment: 0.0 μB per formula unit
data_Tb2NdEr3
_chemical_formula_sum 'Tb8 Nd4 Er12'
_cell_length_a 10.718
_cell_length_b 6.182
_cell_length_c 11.493
_cell_angle_alpha 90.00
_cell_angle_beta 90.00
_cell_angle_gamma 90.00
_space_group_name_H-M_alt 'C m c m'
_space_group_IT_number 63
_space_group_name_Hall '-C 2c 2'
loop_
_atom_site_label
_atom_site_fract_x
_atom_site_fract_y
_atom_site_fract_z
Tb1 0.167 0.166 0.250
Nd1 0.000 0.335 0.750
Er1 0.000 0.000 0.000
Er2 0.167 0.500 0.000

=====

[2]
# GGA-PBE ScAsW2, relaxed
# * density of states at the Fermi level: 3.30 states/eV per cell
# * raw total energy: -35.35 eV per cell
# * formation energy: 0.3839 eV/atom
# * total moment: 0.0 μB per formula unit
data_ScAsW2
_chemical_formula_sum 'Sc1 As1 W2'
_cell_length_a 2.831
_cell_length_b 4.639
_cell_length_c 5.320
_cell_angle_alpha 90.00
_cell_angle_beta 90.00
_cell_angle_gamma 90.00
_space_group_name_H-M_alt 'P m m m'
_space_group_IT_number 47
_space_group_name_Hall '-P 2 2'
loop_
_atom_site_label
_atom_site_fract_x
_atom_site_fract_y
_atom_site_fract_z
Sc1 0.000 0.000 0.000
As1 0.000 0.000 0.500
W1 0.500 0.500 0.248

=====

[3]
# GGA-PBE La2ScCl, relaxed
# * density of states at the Fermi level: 4.93 states/eV per cell
# * energy above the most stable polymorph in this dataset: 40 meV/atom
# * raw total energy: -20.40 eV per cell
# * total moment: 0.0 μB per formula unit
data_La2ScCl
_chemical_formula_sum 'La2 Sc1 Cl1'
_cell_length_a 5.826
_cell_length_b 5.826
_cell_length_c 3.587
_cell_angle_alpha 90.00
_cell_angle_beta 90.00
_cell_angle_gamma 90.00
_space_group_name_H-M_alt 'P -4 m 2'
_space_group_IT_number 115
_space_group_name_Hall 'P -4 -2'
loop_
_atom_site_label
_atom_site_fract_x
_atom_site_fract_y
_atom_site_fract_z
La1 0.000 0.500 0.062
Sc1 0.500 0.500 0.500
Cl1 0.000 0.000 0.000

=====

> What is the formula in the first record?

Tb2NdEr3

=====

> Look up the total moment of the second one.

0.0 μB per formula unit